A geometry-optimized HoInIrAu structure. Source: the Alexandria database, functional PBE.

a b c (Å): 6.8212 6.8212 6.8212
angles (deg): 90.00 90.00 90.00
Last column: nearest neighbours and their distance in Å.
Space group F-43m (No. 216)
Asymmetric unit:
Ho1 0.0000 0.0000 0.0000 [4 per cell]  4 Ir 2.95, 4 Au 2.95
In1 0.0000 0.0000 0.5000 [4 per cell]  4 Ir 2.95, 4 Au 2.95
Ir1 0.2500 0.2500 0.7500 [4 per cell]  4 In 2.95, 4 Ho 2.95
Au1 0.2500 0.2500 0.2500 [4 per cell]  4 In 2.95, 4 Ho 2.95

Calculated values
energy of formation	-2.063	eV per formula unit

A geometry-optimized GeO structure. Source: the Alexandria database, functional PBE.

a b c (Å): 7.3073 7.3073 5.0051
angles (deg): 90.00 90.00 120.00
Last column: nearest neighbours and their distance in Å.
Space group P6_3/m (No. 176)
Asymmetric unit:
Ge1 0.0812 0.7094 0.2500 [6 per cell]  2 O 1.86-1.87
O1 0.0902 0.4590 0.2500 [6 per cell]  2 Ge 1.86-1.87

Calculated values
ΔE_f (raw)	-987	meV per atom

A geometry-optimized Rb2HgHF6 structure. Source: the Alexandria database, functional PBE.

a b c (Å): 5.6745 5.6745 9.9739
angles (deg): 90.00 90.00 90.00
Last column: nearest neighbours and their distance in Å.
Space group I4/mmm (No. 139)
Asymmetric unit:
Rb1 0.0000 0.5000 0.2500 [4 per cell]  4 F 2.86
Hg1 0.0000 0.0000 0.0000 [2 per cell]  6 F 2.12-2.36
H1 0.0000 0.0000 0.5000 [2 per cell]  4 F 1.65
F1 0.0000 0.0000 0.2121 [4 per cell]  1 Hg 2.12
F2 0.2055 0.2055 0.5000 [8 per cell]  1 H 1.65

Calculated values
energy above the most stable polymorph in this dataset	0.298	eV per atom

A geometry-optimized ZrPRh2 structure. Source: the Alexandria database, functional PBE.

a b c (Å): 3.9538 3.9538 3.9474
angles (deg): 90.00 90.00 90.00
Last column: nearest neighbours and their distance in Å.
Space group P4/mmm (No. 123)
Asymmetric unit:
Zr1 0.0000 0.0000 0.0000 [1 per cell]  8 Rh 2.79, 4 P 2.80
P1 0.5000 0.5000 0.0000 [1 per cell]  8 Rh 2.79, 4 Zr 2.80
Rh1 0.0000 0.5000 0.5000 [2 per cell]  4 Zr 2.79, 4 P 2.79, 4 Rh 2.80

Calculated values
energy of formation	-2.520	eV per formula unit

A geometry-optimized Nd3Tl2Bi structure. Source: the Alexandria database, functional PBE.

a b c (Å): 15.5153 6.4589 8.4329
angles (deg): 90.00 105.81 90.00
Last column: nearest neighbours and their distance in Å.
Space group C2/c (No. 15)
Asymmetric unit:
Nd1 0.0000 0.0007 0.2500 [4 per cell]  2 Bi 3.23, 4 Tl 3.33-3.34
Nd2 0.1593 0.4988 0.5800 [8 per cell]  2 Bi 3.18, 4 Tl 3.23-3.28
Tl1 0.1729 0.0014 0.0856 [8 per cell]  6 Nd 3.23-3.34
Bi1 0.0000 0.4993 0.7500 [4 per cell]  6 Nd 3.18-3.23

Calculated values
energy of formation	-2.484	eV per formula unit

A geometry-optimized SmHoRh structure. Source: the Alexandria database, functional PBE.

a b c (Å): 4.5336 4.5336 4.2781
angles (deg): 90.00 90.00 120.00
Last column: nearest neighbours and their distance in Å.
Space group P3m1 (No. 156)
Asymmetric unit:
Sm1 0.0000 0.0000 0.0000 [1 per cell]  3 Rh 2.90
Ho1 0.3333 0.6667 0.5254 [1 per cell]  3 Rh 2.80
Rh1 0.6667 0.3333 0.2940 [1 per cell]  3 Ho 2.80, 3 Sm 2.90

Calculated values
energy of formation	-1.179	eV per formula unit
energy above the most stable polymorph in this dataset	0.151	eV per atom

A geometry-optimized Ce3Ga9Ni2 structure. Source: the Alexandria database, functional PBE.

a b c (Å): 4.2789 9.8559 12.2808
angles (deg): 90.00 90.00 90.00
Last column: nearest neighbours and their distance in Å.
Space group Immm (No. 71)
Asymmetric unit:
Ce1 0.0000 0.0000 0.0000 [2 per cell]  12 Ga 3.14-3.20
Ce2 0.0000 0.0000 0.3185 [4 per cell]  2 Ni 3.08, 10 Ga 3.09-3.16
Ga1 0.0000 0.2778 0.1253 [8 per cell]  4 Ga 2.61-2.76, 2 Ni 2.64
Ga2 0.0000 0.3675 0.3384 [8 per cell]  1 Ni 2.49, 4 Ga 2.61-2.76
Ga3 0.0000 0.5000 0.0000 [2 per cell]  4 Ga 2.68
Ni1 0.0000 0.2157 0.5000 [4 per cell]  6 Ga 2.49-2.64

Calculated values
energy of formation	-7.304	eV per formula unit

A geometry-optimized SiPtSe2 structure. Source: the Alexandria database, functional PBE.

a b c (Å): 7.3035 3.6520 6.9478
angles (deg): 90.00 91.97 90.00
Last column: nearest neighbours and their distance in Å.
Space group Cm (No. 8)
Asymmetric unit:
Si1 0.0000 0.0000 0.0000 [2 per cell]  3 Pt 2.36-2.49, 2 Se 2.43
Pt1 0.2960 0.0000 0.8749 [2 per cell]  3 Si 2.36-2.49, 3 Se 2.62-2.63
Se1 0.1034 0.5000 0.6846 [2 per cell]  3 Pt 2.63-2.64
Se2 0.4478 0.0000 0.2214 [2 per cell]  2 Si 2.43, 1 Pt 2.62

Calculated values
ΔE_f (raw)	-312	meV per atom

A geometry-optimized NaAc2Si4Pt3 structure. Source: the Alexandria database, functional PBE.

a b c (Å): 4.4345 4.4345 10.2675
angles (deg): 90.00 90.00 90.00
Last column: nearest neighbours and their distance in Å.
Space group P-4m2 (No. 115)
Asymmetric unit:
Na1 0.0000 0.0000 0.0000 [1 per cell]  4 Si 2.68
Ac1 0.0000 0.5000 0.7452 [2 per cell]  8 Si 3.33-3.36, 7 Pt 3.43-3.65, 2 Na 3.43
Si1 0.0000 0.0000 0.5000 [1 per cell]  4 Pt 2.49
Si2 0.0000 0.5000 0.1470 [2 per cell]  3 Pt 2.49-2.68, 2 Na 2.68
Si3 0.5000 0.5000 0.5000 [1 per cell]  4 Pt 2.49
Pt1 0.0000 0.5000 0.3896 [2 per cell]  5 Si 2.49
Pt2 0.5000 0.5000 0.0000 [1 per cell]  4 Si 2.68

Calculated values
ΔE_f (raw)	-796	meV per atom

A geometry-optimized TlAsAu2 structure. Source: the Alexandria database, functional PBE.

a b c (Å): 8.5279 3.9582 5.8068
angles (deg): 90.00 105.58 90.00
Last column: nearest neighbours and their distance in Å.
Space group Cm (No. 8)
Asymmetric unit:
Tl1 0.0000 0.0000 0.0000 [2 per cell]  3 Au 2.97-3.14, 1 As 3.30
As1 0.2211 0.0000 0.6131 [2 per cell]  5 Au 2.61-2.80
Au1 0.0029 0.5000 0.5155 [2 per cell]  3 As 2.61-2.67, 3 Au 2.85-2.88
Au2 0.2648 0.5000 0.2957 [2 per cell]  2 As 2.80, 3 Au 2.85-2.88, 1 Tl 2.97

Calculated values
energy of formation	0.417	eV per formula unit

A geometry-optimized TiTeP3O12 structure. Source: the Alexandria database, functional PBE.

a b c (Å): 8.6827 8.6827 22.5645
angles (deg): 90.00 90.00 120.00
Last column: nearest neighbours and their distance in Å.
Space group R3c (No. 161, hexagonal axes)
Asymmetric unit:
Ti1 0.0000 0.0000 0.0000 [6 per cell]  6 O 1.93-2.00
Te1 0.0000 0.0000 0.2115 [6 per cell]  6 O 2.03-2.06
P1 0.0034 0.2892 0.1063 [18 per cell]  4 O 1.52-1.57
O1 0.0150 0.1886 0.7678 [18 per cell]  1 P 1.56
O2 0.0276 0.1973 0.0526 [18 per cell]  1 P 1.52
O3 0.1624 0.4450 0.8301 [18 per cell]  1 P 1.57
O4 0.1719 0.4681 0.1181 [18 per cell]  1 P 1.53

Calculated values
ΔE_f (raw)	-2047	meV per atom

A geometry-optimized In4Hg3Pb3 structure. Source: the Alexandria database, functional PBE.

a b c (Å): 3.6152 12.4208 12.6585
angles (deg): 90.00 90.00 90.00
Last column: nearest neighbours and their distance in Å.
Space group Amm2 (No. 38)
Asymmetric unit:
In1 0.0000 0.0000 0.0000 [2 per cell]  4 Hg 3.19, 1 In 3.27, 4 Pb 3.27-3.44
In2 0.0000 0.0000 0.2582 [2 per cell]  6 Hg 3.03-3.19, 1 In 3.27
In3 0.0000 0.1394 0.5987 [4 per cell]  4 Hg 3.04-3.13, 1 Pb 3.38
Hg1 0.5000 0.0000 0.4501 [2 per cell]  6 In 3.03-3.13
Hg2 0.5000 0.1661 0.1293 [4 per cell]  6 In 3.04-3.19
Pb1 0.0000 0.2380 0.8605 [4 per cell]  4 In 3.38-3.53, 4 Pb 3.60-3.62, 2 Hg 3.64
Pb2 0.5000 0.0000 0.7847 [2 per cell]  6 In 3.27-3.44, 6 Pb 3.60-3.62

Calculated values
energy of formation	0.528	eV per formula unit

A geometry-optimized Be4RhAu3 structure. Source: the Alexandria database, functional PBE.

a b c (Å): 2.9137 2.9137 11.7609
angles (deg): 90.00 90.00 90.00
Last column: nearest neighbours and their distance in Å.
Space group P4/mmm (No. 123)
Asymmetric unit:
Be1 0.0000 0.0000 0.1033 [2 per cell]  4 Rh 2.39, 1 Be 2.43, 4 Au 2.63
Be2 0.0000 0.0000 0.3718 [2 per cell]  8 Au 2.55-2.56
Rh1 0.5000 0.5000 0.0000 [1 per cell]  8 Be 2.39
Au1 0.5000 0.5000 0.2427 [2 per cell]  8 Be 2.56-2.63, 1 Rh 2.85
Au2 0.5000 0.5000 0.5000 [1 per cell]  8 Be 2.55

Calculated values
energy of formation	-2.193	eV per formula unit

A geometry-optimized CeTaZn4 structure. Source: the Alexandria database, functional PBE.

a b c (Å): 7.4792 7.4792 7.4792
angles (deg): 90.00 90.00 90.00
Last column: nearest neighbours and their distance in Å.
Space group F-43m (No. 216)
Asymmetric unit:
Ce1 0.0000 0.0000 0.0000 [4 per cell]  12 Zn 3.10, 4 Ta 3.24
Ta1 0.2500 0.2500 0.2500 [4 per cell]  12 Zn 3.10, 4 Ce 3.24
Zn1 0.1237 0.1237 0.6237 [16 per cell]  6 Zn 2.62-2.67

Calculated values
energy of formation	-0.330	eV per formula unit

A geometry-optimized TbPmI3 structure. Source: the Alexandria database, functional PBE.

a b c (Å): 20.8642 4.1637 11.5299
angles (deg): 90.00 112.05 90.00
Last column: nearest neighbours and their distance in Å.
Space group C2/m (No. 12)
Asymmetric unit:
Tb1 0.0736 0.0000 0.4718 [4 per cell]  4 I 3.19-3.20, 1 Tb 3.37
Pm1 0.0744 0.5000 0.7487 [4 per cell]  4 I 3.11-3.13
I1 0.0775 0.5000 0.2652 [4 per cell]  1 Pm 3.11, 2 Tb 3.19
I2 0.1363 0.0000 0.9644 [4 per cell]  2 Pm 3.13
I3 0.1884 0.5000 0.6348 [4 per cell]  1 Pm 3.12, 2 Tb 3.20

Calculated values
energy above the most stable polymorph in this dataset	0.000	eV per atom
ΔE_f (raw)	-1105	meV per atom